Density functional theory data (PBE) for crystalline GaBiI at its relaxed geometry.

Structure (POSCAR):
```
GaBiI
1.0
5.280 0.001 0.003
2.201 6.289 0.000
2.021 2.364 7.599
Ga Bi I
2 2 2
direct
0.215 0.881 0.170
0.414 0.090 0.286
0.829 0.781 0.473
0.893 0.213 0.487
0.177 0.074 0.811
0.608 0.474 0.112
```

Summary:
Final energy ... -2.92 eV per atom
Offset from the most stable computed form ... 112 meV/atom
Total magnetization ... 0.00 μB per formula unit

---

Density functional theory data (PBE) for crystalline GaBiI at its relaxed geometry.

Structure (POSCAR):
```
GaBiI
1.0
4.354 0.018 -0.055
2.160 3.775 -0.180
0.114 0.537 14.192
Ga Bi I
2 2 2
direct
0.930 0.588 0.967
0.261 0.920 0.856
0.262 0.922 0.472
0.927 0.588 0.350
0.594 0.252 0.739
0.597 0.256 0.084
```

Summary:
Final energy ... -3.01 eV per atom
Offset from the most stable computed form ... 20 meV/atom
Total magnetization ... 0.00 μB per formula unit

---

Density functional theory data (PBE) for crystalline GaBiI at its relaxed geometry.

Structure (POSCAR):
```
GaBiI
1.0
-0.849 4.067 -0.855
-0.592 -3.953 -7.692
-6.299 0.402 8.166
Ga Bi I
2 2 2
direct
0.550 0.099 0.450
0.450 0.901 0.550
0.774 0.547 0.628
0.226 0.453 0.372
0.927 0.853 0.194
0.073 0.147 0.806
```

Summary:
Final energy ... -3.03 eV per atom
Offset from the most stable computed form ... 0 meV/atom
Total magnetization ... 0.00 μB per formula unit

---

Density functional theory data (PBE) for crystalline GaBiI at its relaxed geometry.

Structure (POSCAR):
```
GaBiI
1.0
4.480 0.778 0.154
2.651 6.041 0.326
0.405 0.845 9.291
I Bi Ga
2 2 2
direct
0.389 0.270 0.668
0.611 0.730 0.332
0.536 0.329 0.138
0.464 0.671 0.862
0.264 0.019 0.094
0.736 0.981 0.906
```

Summary:
Final energy ... -3.00 eV per atom
Offset from the most stable computed form ... 27 meV/atom
Total magnetization ... 0.00 μB per formula unit

---

Density functional theory data (PBE) for crystalline GaBiI at its relaxed geometry.

Structure (POSCAR):
```
GaBiI
1.0
-5.307 0.784 -4.323
1.358 -3.794 -2.355
-1.677 -4.526 6.322
Ga Bi I
2 2 2
direct
0.041 0.000 0.566
0.041 0.500 0.066
0.901 0.000 0.858
0.901 0.500 0.358
0.425 0.000 0.855
0.425 0.500 0.355
```

Summary:
Final energy ... -2.89 eV per atom
Offset from the most stable computed form ... 138 meV/atom
Total magnetization ... 0.00 μB per formula unit

---

Density functional theory data (PBE) for crystalline GaBi4I at its relaxed geometry.

Structure (POSCAR):
```
GaBi4I
1.0
-0.971 -1.049 4.829
1.708 -8.300 -1.459
9.907 3.501 0.126
Ga Bi I
2 8 2
direct
0.500 0.000 0.500
0.000 0.500 0.500
0.639 0.046 0.779
0.861 0.454 0.221
0.361 0.954 0.221
0.139 0.546 0.779
0.063 0.855 0.627
0.437 0.645 0.373
0.937 0.145 0.373
0.563 0.355 0.627
0.750 0.750 0.000
0.250 0.250 0.000
```

Summary:
Final energy ... -3.33 eV per atom
Total magnetization ... 0.00 μB per formula unit

---

Density functional theory data (PBE) for crystalline GaBi3I at its relaxed geometry.

Structure (POSCAR):
```
GaBi3I
1.0
-4.244 -2.162 -3.644
3.185 -5.029 -0.725
-2.795 -2.448 4.707
I Bi Ga
1 3 1
direct
0.000 0.000 0.000
0.000 0.500 0.000
0.000 0.000 0.500
0.500 0.000 0.000
0.500 0.500 0.500
```

Summary:
Final energy ... -2.30 eV per atom
Offset from the most stable computed form ... 959 meV/atom
Total magnetization ... 0.00 μB per formula unit

---

Density functional theory data (PBE) for crystalline Ga2BiI6 at its relaxed geometry.

Structure (POSCAR):
```
Ga2BiI6
1.0
9.185 0.183 0.177
2.928 10.422 -0.523
2.928 -0.185 10.434
Ga Bi I
4 2 12
direct
0.252 0.589 0.782
0.248 0.218 0.411
0.748 0.411 0.218
0.752 0.782 0.589
0.250 0.083 0.917
0.750 0.917 0.083
0.538 0.640 0.653
0.962 0.347 0.360
0.462 0.360 0.347
0.038 0.653 0.640
0.767 0.927 0.352
0.733 0.648 0.073
0.233 0.073 0.648
0.267 0.352 0.927
0.126 0.808 0.984
0.374 0.016 0.192
0.874 0.192 0.016
0.626 0.984 0.808
```

Summary:
Final energy ... -2.46 eV per atom
Total magnetization ... 0.00 μB per formula unit

---

Energy relative to the elements, uncorrected: -0.096 -0.188 -0.208 -0.180 -0.069 0.025 0.946 -0.326 (eV/atom)